Entry 1:
PuSb3Pd3: optimized geometry, PBE.

For the uncorrected formation energy, the calculation gives -0.39 eV per atom. The calculation puts the energy above the most stable polymorph in this dataset at 0 meV/atom. Its density of states at the Fermi level is 2.05 states/eV per atom. As for the electronic total energy: -269.92 eV per cell.

Lattice parameters (Å, degrees): 8.1622 8.1622 17.4769 90.00 90.00 120.00
Space group R-3 (No. 148, hexagonal axes)
One atom of each set of equivalent atoms:
1 Pu 0.0000 0.0000 0.1658
2 Sb 0.9996 0.3113 0.4111
3 Pd 0.0010 0.6504 0.4119

---

Entry 2:
PuSb2Pd2: optimized geometry, PBE.

For the uncorrected formation energy, the calculation gives -0.39 eV per atom. The calculation puts the energy above the most stable polymorph in this dataset at 179 meV/atom. Its density of states at the Fermi level is 2.94 states/eV per atom. As for the electronic total energy: -139.64 eV per cell.

Lattice parameters (Å, degrees): 8.873 10.746 6.621 90.00 130.19 90.00
Space group C2/c (No. 15)
One atom of each set of equivalent atoms:
1 Pu 0.000 0.138 0.250
2 Sb 0.000 0.153 0.750
3 Sb 0.000 0.434 0.250
4 Pd 0.167 0.358 0.743

---

Entry 3:
Pu2SbPd3: optimized geometry, PBE.

For the uncorrected formation energy, the calculation gives -0.64 eV per atom. The calculation puts the energy above the most stable polymorph in this dataset at 0 meV/atom. Its density of states at the Fermi level is 2.73 states/eV per atom. As for the electronic total energy: -104.38 eV per cell.

Lattice parameters (Å, degrees): 5.6513 5.6513 8.7776 90.00 90.00 120.00
Space group P6_3/mmc (No. 194)
One atom of each set of equivalent atoms:
1 Pu 0.3333 0.6667 0.0697
2 Sb 0.0000 0.0000 0.0000
3 Pd 0.1725 0.3450 0.7500

---

Entry 4:
PuSb4Pd15: optimized geometry, PBE.

For the uncorrected formation energy, the calculation gives -0.30 eV per atom. Its density of states at the Fermi level is 1.43 states/eV per atom. As for the electronic total energy: -114.78 eV per cell.

Lattice parameters (Å, degrees): 4.083 4.083 20.218 90.00 90.00 90.00
Space group P4/mmm (No. 123)
One atom of each set of equivalent atoms:
1 Pu 0.000 0.000 0.000
2 Sb 0.000 0.000 0.203
3 Sb 0.000 0.000 0.400
4 Pd 0.000 0.500 0.101
5 Pd 0.000 0.500 0.301
6 Pd 0.000 0.500 0.500
7 Pd 0.500 0.500 0.000
8 Pd 0.500 0.500 0.202
9 Pd 0.500 0.500 0.400

---

Entry 5:
Pu2SbPd3: optimized geometry, PBE.

For the uncorrected formation energy, the calculation gives -0.59 eV per atom. The calculation puts the energy above the most stable polymorph in this dataset at 53 meV/atom. Its density of states at the Fermi level is 2.70 states/eV per atom. As for the electronic total energy: -155.63 eV per cell.

Lattice parameters (Å, degrees): 5.6359 5.6359 13.3042 90.00 90.00 120.00
Space group R-3m (No. 166, hexagonal axes)
One atom of each set of equivalent atoms:
1 Pu 0.0000 0.0000 0.1166
2 Sb 0.0000 0.0000 0.5000
3 Pd 0.0000 0.5000 0.0000

---

Entry 6:
PuSb4Pd5: optimized geometry, PBE.

For the uncorrected formation energy, the calculation gives -0.42 eV per atom. Its density of states at the Fermi level is 1.64 states/eV per atom. As for the electronic total energy: -121.97 eV per cell.

Lattice parameters (Å, degrees): 7.688 9.416 5.901 90.00 90.00 90.00
Space group Pmmn (No. 59, origin choice 2)
One atom of each set of equivalent atoms:
1 Pu 0.250 0.250 0.007
2 Sb 0.054 0.250 0.493
3 Sb 0.250 0.589 0.108
4 Pd 0.055 0.005 0.740
5 Pd 0.250 0.750 0.729